An optimized crystal structure of NpTi2Al. Source: Alexandria via LeMat-Bulk, functional PBE.

- energy above the lowest structure with this stoichiometry (meV per atom) = 0
- N(E_F) (states/eV/cell) = 6.703

Lattice parameters (Å, degrees): 2.783 2.783 8.947 90.00 90.00 90.00
Last column: magnetic moment on the atom in μB.
Element x y z (fractional)
Np1 0.500 0.500 0.000  2.61
Al1 0.500 0.500 0.500  0.01
Ti1 0.000 0.000 0.730  -0.14
Ti2 0.000 0.000 0.270  -0.14

***

An optimized crystal structure of HoErOsAu. Source: Alexandria via LeMat-Bulk, functional PBE.

- N(E_F) (states/eV/cell) = 1.627
- final energy (eV for the cell shown) = -25.7

Lattice parameters (Å, degrees): 4.910 4.910 4.910 60.00 60.00 60.00
Element x y z (fractional)
Os1 0.500 0.500 0.500
Au1 0.000 0.000 0.000
Ho1 0.750 0.750 0.750
Er1 0.250 0.250 0.250

***

An optimized crystal structure of K2BaSrF. Source: Alexandria via LeMat-Bulk, functional PBE.

- raw formation energy (meV/atom) = -964
- N(E_F) (states/eV/cell) = 4.219

Lattice parameters (Å, degrees): 7.133 7.133 5.090 90.00 90.00 90.00
Element x y z (fractional)
Sr1 0.500 0.500 0.500
K1 0.000 0.500 0.000
K2 0.500 0.000 0.000
Ba1 0.000 0.000 0.500
F1 0.000 0.000 0.000

***

- What is the formula in the first record?
  NpTi2Al